[1]
Density functional theory data (GGA-PBE) for a geometry-optimized LiZn2Ag2 structure.

```
10
Lattice="7.608 0.000 0.000 0.000 7.608 0.000 0.000 0.000 2.956" Properties=species:S:1:pos:R:3 pbc="T T T"
Li 0.000 0.000 0.000
Ag 6.276 2.472 1.478
Ag 1.332 5.136 1.478
Li 3.804 3.804 0.000
Zn 4.746 0.942 0.000
Ag 2.472 1.332 1.478
Ag 5.136 6.276 1.478
Zn 2.862 6.666 0.000
Zn 6.666 4.746 0.000
Zn 0.942 2.862 0.000
```

Calculated values
D(E_F) = 2.7 states/eV/cell
V = 17.11 A^3/atom
Energy relative to the elements = -0.117 eV per atom
Energy relative to the lowest polymorph listed for this composition = 0.62 kcal/mol of atoms
E_tot = -2.15 eV per atom

---

[2]
Density functional theory data (GGA-PBE) for a geometry-optimized Li5Zn2Ag5 structure.

```
12
Lattice="4.036 0.000 0.000 -2.018 7.839 -1.307 0.000 -5.321 6.996" Properties=species:S:1:pos:R:3 pbc="T T T"
Ag 2.018 -3.479 6.229
Li 0.000 0.000 0.000
Li 2.018 -0.086 4.601
Ag 0.000 5.997 -0.540
Ag 0.000 1.702 3.788
Li 0.000 2.604 1.088
Ag 2.018 -2.661 3.498
Zn 2.018 4.368 0.326
Li 2.018 3.458 3.012
Ag 2.018 0.816 1.901
Li 0.000 -0.940 2.678
Zn 0.000 -1.850 5.363
```

Calculated values
D(E_F) = 3.6 states/eV/cell
V = 16.11 A^3/atom
Energy relative to the elements = -0.186 eV per atom
Energy relative to the lowest polymorph listed for this composition = 0.00 kcal/mol of atoms
E_tot = -2.38 eV per atom

---

[3]
Density functional theory data (GGA-PBE) for a geometry-optimized Li12Zn2Ag structure.

```
30
Lattice="-4.047 0.104 -3.995 -5.092 -2.386 0.855 -6.523 16.442 7.035" Properties=species:S:1:pos:R:3 pbc="T T T"
Zn -6.842 12.197 3.199
Li -8.794 9.508 2.986
Li -3.142 1.591 0.140
Li -6.304 9.560 3.550
Li -6.468 7.977 1.113
Li -5.292 -0.598 0.141
Li -10.873 8.419 1.980
Zn -7.364 10.952 5.624
Li -9.194 6.182 2.781
Li -4.225 10.649 4.556
Li -9.695 11.779 3.958
Li -8.671 7.428 0.357
Li -10.368 14.758 3.754
Li -9.358 4.600 0.345
Li -1.397 3.522 1.507
Li -4.772 0.646 -2.285
Zn -4.251 3.103 2.266
Li -4.789 5.741 1.915
Li -5.126 12.920 5.528
Li -5.967 2.381 -0.063
Ag -2.024 0.053 -1.997
Ag -9.069 15.248 7.462
Li -6.868 4.652 0.909
Li -12.520 12.569 3.755
Li -7.712 0.450 -1.430
Li -2.298 5.793 2.479
Li -7.950 13.710 5.325
Li -6.991 6.733 3.539
Li -10.893 13.513 6.179
Zn -3.728 4.349 -0.159
```

Calculated values
D(E_F) = 12.9 states/eV/cell
V = 17.49 A^3/atom
Energy relative to the elements = -0.033 eV per atom
E_tot = -1.92 eV per atom

---

[4]
Density functional theory data (GGA-PBE) for a geometry-optimized Li6Zn2Ag3 structure.

```
11
Lattice="6.091 -0.610 2.175 -1.007 4.349 1.559 4.994 3.187 10.209" Properties=species:S:1:pos:R:3 pbc="T T T"
Ag 0.000 0.000 0.000
Zn 2.610 2.784 2.910
Li 6.299 4.810 8.431
Ag 3.759 3.953 7.600
Li 7.404 2.307 9.021
Zn 7.469 4.143 11.033
Li 6.255 1.141 4.300
Li 2.675 4.619 4.922
Li 3.823 5.786 9.643
Li 3.779 2.117 5.512
Ag 6.320 2.973 6.343
```

Calculated values
D(E_F) = 3.9 states/eV/cell
V = 15.90 A^3/atom
Energy relative to the elements = -0.177 eV per atom
E_tot = -2.23 eV per atom

---

[5]
Density functional theory data (GGA-PBE) for a geometry-optimized Li4Zn3Ag4 structure.

```
11
Lattice="2.815 -0.113 0.878 -0.040 3.772 0.587 2.786 -0.794 17.215" Properties=species:S:1:pos:R:3 pbc="T T T"
Ag 3.523 -0.357 14.536
Ag 2.038 3.223 4.145
Li 4.297 0.075 11.876
Li 4.531 1.258 16.597
Li 1.030 1.608 2.084
Ag 2.321 0.642 8.203
Zn 3.084 1.069 5.599
Zn 5.601 -0.907 18.093
Zn 2.477 1.797 13.081
Ag 3.240 2.223 10.478
Li 1.264 2.790 6.805
```

Calculated values
D(E_F) = 3.2 states/eV/cell
V = 15.88 A^3/atom
Energy relative to the elements = -0.170 eV per atom
Energy relative to the lowest polymorph listed for this composition = 0.00 kcal/mol of atoms
E_tot = -2.25 eV per atom

---

[6]
Density functional theory data (GGA-PBE) for a geometry-optimized LiZnAg2 structure.

```
4
Lattice="-3.802 3.016 1.353 -4.349 1.457 -2.084 -3.210 -1.973 1.406" Properties=species:S:1:pos:R:3 pbc="T T T"
Zn -2.839 0.615 0.173
Ag -8.140 4.462 -0.728
Ag -8.530 1.886 0.503
Li -5.685 1.257 0.335
```

Calculated values
D(E_F) = 1.1 states/eV/cell
V = 16.10 A^3/atom
Energy relative to the elements = -0.161 eV per atom
E_tot = -2.38 eV per atom

---

[7]
Density functional theory data (GGA-PBE) for a geometry-optimized Li2Zn6Ag structure.

```
9
Lattice="-4.688 0.982 1.990 -1.278 -4.749 -1.649 1.972 -1.681 4.494" Properties=species:S:1:pos:R:3 pbc="T T T"
Zn -4.205 -1.842 1.588
Li -1.339 -1.825 1.620
Zn 0.210 -3.606 3.247
Ag 0.000 0.000 0.000
Zn -0.920 -1.707 4.453
Zn -3.128 -0.825 3.624
Li -2.656 -3.623 3.215
Zn -0.867 -4.623 1.211
Zn -3.075 -3.741 0.381
```

Calculated values
D(E_F) = 4.3 states/eV/cell
V = 15.38 A^3/atom
Energy relative to the elements = -0.125 eV per atom
Energy relative to the lowest polymorph listed for this composition = 0.00 kcal/mol of atoms
E_tot = -1.72 eV per atom

---

[8]
Density functional theory data (GGA-PBE) for a geometry-optimized LiZnAg2 structure.

```
4
Lattice="4.526 0.000 0.000 2.263 3.920 0.000 2.263 1.307 3.696" Properties=species:S:1:pos:R:3 pbc="T T T"
Li 4.526 2.613 1.848
Ag 2.263 1.307 0.924
Zn 6.789 3.920 2.772
Ag 0.000 0.000 0.000
```

Calculated values
D(E_F) = 1.7 states/eV/cell
V = 16.39 A^3/atom
Energy relative to the elements = -0.130 eV per atom
E_tot = -2.35 eV per atom

---

[9]
Density functional theory data (GGA-PBE) for a geometry-optimized Li23Zn6Ag structure.

```
30
Lattice="7.838 0.000 4.525 2.613 7.390 4.525 0.000 0.000 9.051" Properties=species:S:1:pos:R:3 pbc="T T T"
Li 5.186 0.938 4.525
Li 1.306 3.695 2.263
Li 3.951 2.794 11.257
Li 2.613 4.576 4.525
Li 3.951 2.794 6.844
Li 9.125 6.452 15.804
Li 0.000 0.000 0.000
Li 6.500 4.596 6.844
Li 9.125 6.452 11.348
Li 2.677 4.596 9.051
Li 6.500 4.596 11.257
Zn 3.915 5.549 6.780
Ag 5.225 3.695 9.051
Li 5.225 0.992 9.051
Zn 3.915 5.549 11.321
Li 5.265 6.452 13.576
Li 0.000 0.000 4.525
Zn 2.604 1.841 9.051
Zn 6.536 1.841 11.321
Zn 7.847 5.549 9.051
Li 5.225 6.398 9.051
Li 1.326 0.938 2.297
Li 3.919 0.000 6.788
Li 3.919 0.000 2.263
Li 7.774 2.794 9.051
Li 5.225 3.695 4.525
Zn 6.536 1.841 6.780
Li 1.306 3.695 6.788
Li 1.326 0.938 6.754
Li 7.838 2.813 13.576
```

Calculated values
D(E_F) = 9.7 states/eV/cell
V = 17.48 A^3/atom
Energy relative to the elements = -0.059 eV per atom
E_tot = -1.88 eV per atom

---

[10]
Density functional theory data (GGA-PBE) for a geometry-optimized Li5Zn2Ag6 structure.

```
26
Lattice="-1.431 2.234 -1.296 -6.385 -0.183 6.736 8.540 10.331 8.375" Properties=species:S:1:pos:R:3 pbc="T T T"
Ag -1.608 2.454 2.642
Ag -0.032 4.184 7.247
Ag 2.186 5.964 7.865
Li 6.183 10.895 8.586
Zn 5.721 8.130 7.694
Ag 2.595 3.803 3.689
Li 0.709 3.476 1.845
Zn -3.566 2.019 7.417
Ag 4.797 8.910 10.059
Zn 0.305 2.931 4.715
Li 3.554 6.283 3.539
Li -5.460 1.488 5.228
Ag 2.331 9.928 11.173
Li -3.908 1.026 2.720
Li -2.140 3.801 5.550
Li 1.146 5.708 5.208
Zn 1.849 7.217 10.396
Ag 3.561 7.645 5.880
Li 0.014 8.906 11.970
Li 2.863 8.581 8.265
Ag -2.838 4.737 7.934
Ag 0.344 0.868 1.116
Ag -0.441 6.345 11.422
Ag 1.810 9.280 13.995
Li -0.423 6.675 8.607
Ag -2.642 1.239 5.052
```

Calculated values
D(E_F) = 8.1 states/eV/cell
V = 16.67 A^3/atom
Energy relative to the elements = -0.127 eV per atom
E_tot = -2.37 eV per atom

---

[11]
Density functional theory data (GGA-PBE) for a geometry-optimized Li2Zn15Ag2 structure.

```
19
Lattice="0.052 -3.647 5.731 4.062 -4.980 -2.202 5.806 2.466 2.521" Properties=species:S:1:pos:R:3 pbc="T T T"
Li 6.573 -4.082 4.008
Zn 3.607 -5.187 2.695
Zn 1.813 -1.776 4.748
Zn 4.453 -1.574 4.987
Ag 8.844 -5.493 5.393
Zn 1.280 -4.055 3.302
Zn 6.313 -0.974 3.355
Ag 1.077 -0.669 0.657
Zn 2.031 -2.490 -1.101
Zn 5.467 -4.588 1.063
Zn 2.835 -4.572 0.226
Li 3.348 -2.079 2.041
Zn 0.026 -1.824 2.865
Zn 3.521 -3.941 4.913
Zn 5.272 0.186 1.075
Zn 2.903 1.233 1.261
Zn 4.045 0.594 3.504
Zn 4.596 -2.701 -0.756
Zn 6.400 -2.220 1.137
```

Calculated values
D(E_F) = 6.0 states/eV/cell
V = 16.14 A^3/atom
Energy relative to the elements = -0.050 eV per atom
E_tot = -1.56 eV per atom

---

[12]
Density functional theory data (GGA-PBE) for a geometry-optimized Li3ZnAg6 structure.

```
20
Lattice="-3.758 -2.705 -0.603 2.101 -4.236 5.908 -6.008 7.752 2.663" Properties=species:S:1:pos:R:3 pbc="T T T"
Ag -0.391 -2.099 2.818
Li -5.180 3.615 7.026
Ag -5.991 5.731 2.584
Li -2.016 -0.132 4.115
Ag -0.826 -2.132 5.674
Ag -4.108 -0.876 2.413
Ag -1.674 -4.920 5.385
Ag -7.273 2.910 5.150
Zn -2.349 -0.331 7.088
Ag -3.556 1.686 5.556
Li -2.484 -2.804 0.942
Li -5.649 0.943 3.853
Ag -6.063 0.884 6.703
Ag -3.270 1.929 2.683
Ag -1.601 -0.073 1.265
Li -4.810 3.755 4.085
Ag -6.838 2.942 2.294
Li -2.855 -2.945 3.883
Zn -5.315 1.142 0.880
Ag -4.394 -1.118 5.286
```

Calculated values
D(E_F) = 5.3 states/eV/cell
V = 16.56 A^3/atom
Energy relative to the elements = -0.149 eV per atom
Energy relative to the lowest polymorph listed for this composition = 0.00 kcal/mol of atoms
E_tot = -2.56 eV per atom

---

[13]
Density functional theory data (GGA-PBE) for a geometry-optimized LiZn2Ag2 structure.

```
5
Lattice="-2.513 3.050 -1.989 -4.283 -2.002 2.342 4.489 1.842 2.074" Properties=species:S:1:pos:R:3 pbc="T T T"
Li 0.000 0.000 0.000
Zn -0.173 3.145 0.121
Ag -2.294 1.422 0.158
Zn -2.133 -0.254 2.306
Ag -0.013 1.469 2.269
```

Calculated values
D(E_F) = 0.8 states/eV/cell
V = 15.65 A^3/atom
Energy relative to the elements = -0.144 eV per atom
Energy relative to the lowest polymorph listed for this composition = 0.00 kcal/mol of atoms
E_tot = -2.18 eV per atom

---

[14]
Density functional theory data (GGA-PBE) for a geometry-optimized Li6Zn2Ag structure.

```
18
Lattice="-3.020 2.125 -1.539 -3.578 -7.213 -2.937 -4.335 -0.841 7.346" Properties=species:S:1:pos:R:3 pbc="T T T"
Li -2.143 -0.212 -1.288
Li -1.913 -2.555 0.226
Li -8.790 -5.717 4.158
Li -3.324 -2.752 2.724
Li -4.982 -0.686 3.629
Li -6.234 -3.115 2.733
Li -4.699 -2.814 0.137
Li -9.020 -3.374 2.644
Li -7.364 -5.235 -3.177
Li -5.951 -5.243 -0.760
Li -7.609 -3.177 0.146
Zn -6.125 -2.821 -2.273
Li -3.569 -0.694 6.046
Ag -3.299 -2.544 -2.238
Zn -7.382 -5.512 1.677
Zn -3.551 -0.417 1.192
Ag -2.167 -0.421 3.673
Zn -4.808 -3.108 5.143
```

Calculated values
D(E_F) = 5.9 states/eV/cell
V = 16.33 A^3/atom
Energy relative to the elements = -0.132 eV per atom
Energy relative to the lowest polymorph listed for this composition = 0.19 kcal/mol of atoms
E_tot = -2.01 eV per atom

---

[15]
Density functional theory data (GGA-PBE) for a geometry-optimized Li9Zn2Ag3 structure.

```
14
Lattice="-3.157 2.970 -0.753 -4.309 0.248 6.190 2.761 6.715 2.059" Properties=species:S:1:pos:R:3 pbc="T T T"
Ag -2.695 4.117 1.833
Li -4.168 7.149 7.115
Li -2.763 1.313 3.908
Li -0.538 2.783 0.381
Li -1.943 8.620 3.588
Li -2.528 8.649 6.157
Li -0.774 3.481 4.125
Zn -3.478 3.937 4.406
Li -5.474 5.389 5.652
Ag -2.011 5.816 5.663
Li 0.768 4.543 1.845
Li -2.177 1.283 1.339
Ag 0.000 0.000 0.000
Zn -1.227 5.996 3.090
```

Calculated values
D(E_F) = 5.6 states/eV/cell
V = 16.36 A^3/atom
Energy relative to the elements = -0.096 eV per atom
E_tot = -2.12 eV per atom

---

[16]
Density functional theory data (GGA-PBE) for a geometry-optimized Li15Zn4Ag structure.

```
20
Lattice="4.176 0.000 0.000 0.000 4.176 0.000 0.000 0.000 19.034" Properties=species:S:1:pos:R:3 pbc="T T T"
Li 2.088 2.088 7.613
Li 0.000 2.088 9.517
Zn 0.000 0.000 15.183
Li 2.088 2.088 11.420
Li 2.088 0.000 9.517
Li 0.000 2.088 1.931
Li 2.088 2.088 15.191
Zn 0.000 0.000 7.616
Li 2.088 0.000 1.931
Zn 0.000 0.000 3.851
Ag 0.000 0.000 0.000
Zn 0.000 0.000 11.417
Li 0.000 2.088 5.734
Li 2.088 2.088 3.843
Li 2.088 0.000 13.299
Li 2.088 0.000 5.734
Li 2.088 0.000 17.102
Li 0.000 2.088 17.102
Li 0.000 2.088 13.299
Li 2.088 2.088 0.000
```

Calculated values
D(E_F) = 6.6 states/eV/cell
V = 16.60 A^3/atom
Energy relative to the elements = -0.097 eV per atom
E_tot = -1.93 eV per atom

---

[17]
Density functional theory data (GGA-PBE) for a geometry-optimized Li2Zn2Ag structure.

```
10
Lattice="-2.091 -0.986 -6.924 -2.928 -6.439 1.802 -2.480 1.286 0.566" Properties=species:S:1:pos:R:3 pbc="T T T"
Li -1.755 -1.543 -4.186
Zn -3.467 -3.705 0.406
Zn -4.033 -2.434 -4.962
Zn -2.413 -0.679 -1.853
Li -3.265 -5.883 -0.936
Ag -2.510 -3.713 -2.561
Zn -5.087 -5.461 -2.703
Li -3.674 -4.977 -4.790
Li -1.346 -2.449 -0.333
Ag 0.000 0.000 0.000
```

Calculated values
D(E_F) = 3.3 states/eV/cell
V = 15.19 A^3/atom
Energy relative to the elements = -0.061 eV per atom
Energy relative to the lowest polymorph listed for this composition = 3.31 kcal/mol of atoms
E_tot = -1.91 eV per atom

---

[18]
Density functional theory data (GGA-PBE) for a geometry-optimized Li2Zn3Ag2 structure.

```
7
Lattice="2.752 0.000 0.000 0.000 4.225 0.000 0.000 -2.112 9.737" Properties=species:S:1:pos:R:3 pbc="T T T"
Ag 1.376 0.000 5.759
Zn 0.000 0.000 0.000
Li 0.000 0.000 2.815
Li 0.000 2.112 6.922
Zn 1.376 2.112 1.318
Ag 1.376 2.112 3.978
Zn 1.376 0.000 8.419
```

Calculated values
D(E_F) = 2.4 states/eV/cell
V = 16.17 A^3/atom
Energy relative to the elements = -0.099 eV per atom
Energy relative to the lowest polymorph listed for this composition = 1.63 kcal/mol of atoms
E_tot = -2.01 eV per atom

---

[19]
Density functional theory data (GGA-PBE) for a geometry-optimized Li3Zn4Ag2 structure.

```
9
Lattice="-0.198 2.068 3.797 -0.117 -4.471 -0.037 8.086 -0.536 0.713" Properties=species:S:1:pos:R:3 pbc="T T T"
Ag 1.643 -2.428 1.408
Zn 0.749 -0.173 2.600
Li 4.379 -2.578 1.632
Zn 7.023 -2.767 1.873
Li 3.392 -0.362 2.840
Zn 2.748 -0.205 0.255
Ag 6.129 -0.511 3.064
Zn 5.023 -2.734 4.217
Li 0.000 0.000 0.000
```

Calculated values
D(E_F) = 2.5 states/eV/cell
V = 15.30 A^3/atom
Energy relative to the elements = -0.188 eV per atom
E_tot = -2.03 eV per atom